PaAl2VO8 after structural relaxation. Source: Alexandria via LeMat-Bulk, functional PBE with a Hubbard U.

Output
SG: Cmmm, No. 65
Magnetic moment in μB per formula unit: 0.00
Electronic total energy in eV for the cell shown: -96.57

Lattice parameters (Å, degrees): 4.5750 4.5750 6.2559 90.00 90.00 90.58
Closest atoms and distances in Å follow each position.
Sites, in units of the cell vectors:
Pa1 0.0000 0.0000 0.0000  6 O 2.09-2.19
Al1 0.5000 0.5000 0.2691  6 O 1.91-2.04
Al2 0.5000 0.5000 0.7309  6 O 1.91-2.04
V1 0.0000 0.0000 0.5000  6 O 1.89-1.95
O1 0.2029 0.2029 0.2817  1 V 1.89, 1 Al 1.91
O2 0.2029 0.2029 0.7183  1 V 1.89, 1 Al 1.91
O3 0.2993 0.7007 0.5000  1 V 1.95, 2 Al 1.95
O4 0.3221 0.6779 0.0000  2 Al 2.04, 1 Pa 2.09
O5 0.6779 0.3221 0.0000  2 Al 2.04, 1 Pa 2.09
O6 0.7007 0.2993 0.5000  1 V 1.95, 2 Al 1.95
O7 0.7971 0.7971 0.2817  1 V 1.89, 1 Al 1.91
O8 0.7971 0.7971 0.7183  1 V 1.89, 1 Al 1.91